1.
! CsRb2HgH4 (GGA-PBE, optimized geometry); values from VASP
&SYSTEM
  ibrav = 0, nat = 8, ntyp = 4
/
ATOMIC_SPECIES
H 1.01 H.upf
Hg 200.59 Hg.upf
Rb 85.47 Rb.upf
Cs 132.91 Cs.upf
ATOMIC_POSITIONS angstrom
H -1.9699 2.6596 4.2807
H 3.9918 -0.1089 3.1198
H -2.3686 3.1014 1.4646
H 1.8395 1.4455 2.0080
Hg -2.8925 1.8349 2.8110
Rb 0.0000 0.0000 0.0000
Rb 0.3732 3.7855 1.4055
Cs 0.3732 -0.2368 4.0311
CELL_PARAMETERS angstrom
6.5313 -0.1210 -0.1854
-2.8925 5.8572 0.1854
-2.8925 -2.1874 5.4366
! SG   I-4, No. 82
! Size of the total moment   0.000 μB/atom
! Crystal system   tetragonal
! DFT total energy   -2.023 eV per atom

2.
! Cs6Rb2HgH (GGA-PBE, optimized geometry); values from VASP
&SYSTEM
  ibrav = 0, nat = 10, ntyp = 4
/
ATOMIC_SPECIES
Rb 85.47 Rb.upf
H 1.01 H.upf
Cs 132.91 Cs.upf
Hg 200.59 Hg.upf
ATOMIC_POSITIONS angstrom
Rb -3.5018 -1.2464 5.1010
Rb 0.3864 4.8258 4.0409
H 6.3969 5.6434 5.7646
Cs 5.5357 -2.5738 5.5696
Cs 1.1653 -0.1961 3.1685
Cs 0.4323 -3.6838 7.3867
Cs -4.2752 3.7743 5.9790
Cs -8.6528 6.1530 3.5787
Cs -3.5489 7.2632 1.7623
Hg 2.5149 -0.4240 6.8216
CELL_PARAMETERS angstrom
-1.7475 10.0726 1.2711
-9.5080 -2.0635 3.3824
8.1504 -4.4281 4.4931
! SG   Cm, No. 8
! Size of the total moment   0.021 μB/atom
! Crystal system   monoclinic
! DFT total energy   -1.113 eV per atom

> Among the records above, which one has the highest size of the total moment?

Cs6Rb2HgH

> Look up the DFT total energy of the first one.

-2.023 eV per atom